# 1
! SrY2HgO, optimized geometry, DFT PBE; values from VASP
! **Volume**: 23.7 Å³ per atom
! **Theoretical density**: 6.77 g/cm³
! **E**: -26.2 eV/f.u.
! **Energy relative to the elements, uncorrected**: -1.2617 eV/atom
&SYSTEM
  ibrav = 0, nat = 5, ntyp = 4
/
ATOMIC_SPECIES
Sr 87.62 Sr.upf
Y 88.91 Y.upf
Hg 200.59 Hg.upf
O 16.00 O.upf
CELL_PARAMETERS angstrom
4.819 0.000 0.000
0.000 4.819 0.000
0.000 0.000 5.093
ATOMIC_POSITIONS crystal
Sr 0.000 0.000 0.000
Y 0.000 0.500 0.500
Y 0.500 0.000 0.500
Hg 0.500 0.500 0.000
O 0.000 0.000 0.500



# 2
! Sr2YHgO, optimized geometry, DFT PBE; values from VASP
! **Volume**: 26.6 Å³ per atom
! **Theoretical density**: 6.01 g/cm³
! **E**: -21.3 eV/f.u.
! **Energy relative to the elements, uncorrected**: -1.2448 eV/atom
&SYSTEM
  ibrav = 0, nat = 5, ntyp = 4
/
ATOMIC_SPECIES
Sr 87.62 Sr.upf
Y 88.91 Y.upf
Hg 200.59 Hg.upf
O 16.00 O.upf
CELL_PARAMETERS angstrom
5.396 0.000 0.000
0.000 5.396 0.000
0.000 0.000 4.566
ATOMIC_POSITIONS crystal
Sr 0.000 0.500 0.000
Sr 0.500 0.000 0.000
Y 0.000 0.000 0.500
Hg 0.500 0.500 0.500
O 0.000 0.000 0.000



# 3
! Ta2Hg2O7, optimized geometry, DFT PBE; values from VASP
! **Volume**: 13.6 Å³ per atom
! **Theoretical density**: 9.73 g/cm³
! **E**: -80.4 eV/f.u.
! **Distance to the lowest polymorph of the same formula**: 0.0000 eV/atom
! **Energy relative to the elements, uncorrected**: -1.9400 eV/atom
&SYSTEM
  ibrav = 0, nat = 22, ntyp = 3
/
ATOMIC_SPECIES
Ta 180.95 Ta.upf
Hg 200.59 Hg.upf
O 16.00 O.upf
CELL_PARAMETERS angstrom
0.000 5.306 5.306
5.306 0.000 5.306
5.306 5.306 0.000
ATOMIC_POSITIONS crystal
Ta 0.000 0.000 0.000
Ta 0.000 0.000 0.500
Ta 0.000 0.500 0.000
Ta 0.500 0.000 0.000
Hg 0.000 0.500 0.500
Hg 0.500 0.000 0.500
Hg 0.500 0.500 0.000
Hg 0.500 0.500 0.500
O 0.063 0.063 0.687
O 0.063 0.687 0.063
O 0.063 0.687 0.687
O 0.313 0.313 0.937
O 0.313 0.937 0.313
O 0.313 0.937 0.937
O 0.375 0.375 0.375
O 0.625 0.625 0.625
O 0.687 0.063 0.063
O 0.687 0.063 0.687
O 0.687 0.687 0.063
O 0.937 0.313 0.313
O 0.937 0.313 0.937
O 0.937 0.937 0.313